The following is a PBE calculation of a relaxed Ce4N2Cl5 crystal, from Alexandria via LeMat-Bulk.

It has space group C2/m (No. 12), with a = 17.944 Å, b = 3.741 Å, c = 7.921 Å, α = 90.00°, β = 101.99° and γ = 90.00°. The distinct sites, in fractional coordinates, are Ce at (0.001, 0.000, 0.293), Ce at (0.169, 0.500, 0.582), N at (0.039, 0.500, 0.519), Cl at (0.000, 0.500, 0.000), Cl at (0.161, 0.000, 0.850) and Cl at (0.164, 0.000, 0.299).

The value obtained for the total magnetization is 11.0 Bohr magnetons per cell. The value obtained for the formation energy (no corrections) is -1.72 eV per atom.

=====

The following is a PBE calculation of a relaxed Pr3Nd2Th2 crystal, from Alexandria via LeMat-Bulk.

It has space group P2/m (No. 10), with a = 5.705 Å, b = 3.495 Å, c = 12.609 Å, α = 90.00°, β = 103.06° and γ = 90.00°. The distinct sites, in fractional coordinates, are Pr at (0.000, 0.000, 0.000), Pr at (0.289, 0.000, 0.578), Nd at (0.424, 0.500, 0.849) and Th at (0.142, 0.000, 0.283).

The value obtained for the total magnetization is 0.0 Bohr magnetons per cell. The value obtained for the formation energy is 0.1998 eV per atom.

=====

The following is a PBE calculation of a relaxed Nd4Hg4Pb5 crystal, from Alexandria via LeMat-Bulk.

It has space group I4/m (No. 87), with a = 12.399 Å, b = 12.399 Å, c = 4.831 Å, α = 90.00°, β = 90.00° and γ = 90.00°. The distinct sites, in fractional coordinates, are Nd at (0.124, 0.230, 0.000), Hg at (0.088, 0.600, 0.000), Pb at (0.000, 0.000, 0.000) and Pb at (0.059, 0.801, 0.500).

The value obtained for the total magnetization is 0.0 Bohr magnetons per cell. The value obtained for the formation energy is -0.3861 eV per atom.

=====

| no. | uncorrected energy (Ry/atom) |
| --- | --- |
| 1 | -0.45815 |
| 2 | -0.39180 |
| 3 | -0.24786 |